(1)
VASP calculation (PBE) on CaPuIr after structural relaxation.

a = 6.8034 Å, b = 6.8034 Å, c = 6.8034 Å
α = 90.00°, β = 90.00°, γ = 90.00°
Space group F-43m (No. 216)
One atom of each set of equivalent atoms:
1 Ca 0.0000 0.0000 0.0000
2 Pu 0.0000 0.0000 0.5000
3 Ir 0.2500 0.2500 0.2500

N(E_F) = 3.9502 states/eV/atom
formation energy = -54 kJ/mol of formula units

---

(2)
VASP calculation (PBE) on Pb3S2O after structural relaxation.

a = 11.3354 Å, b = 4.0746 Å, c = 13.2689 Å
α = 90.00°, β = 90.00°, γ = 90.00°
Space group Pnma (No. 62)
One atom of each set of equivalent atoms:
1 Pb 0.0794 0.2500 0.1060
2 Pb 0.1081 0.7500 0.6065
3 Pb 0.2378 0.7500 0.3201
4 S 0.0188 0.2500 0.7609
5 S 0.2470 0.7500 0.0080
6 O 0.2361 0.2500 0.2145

ΔE_f (raw) = -0.706 eV/atom

---

(3)
VASP calculation (PBE) on CsAc2Ce after structural relaxation.

a = 3.9191 Å, b = 3.9191 Å, c = 42.2725 Å
α = 90.00°, β = 90.00°, γ = 120.00°
Space group R-3m (No. 166, hexagonal axes)
One atom of each set of equivalent atoms:
1 Cs 0.0000 0.0000 0.0000
2 Ac 0.0000 0.0000 0.0968
3 Ce 0.0000 0.0000 0.5000

N(E_F) = 2.2315 states/eV/atom
formation energy = 116 kJ/mol of formula units

---

(4)
VASP calculation (PBE) on PmAg2Cl5 after structural relaxation.

a = 13.2290 Å, b = 7.3910 Å, c = 10.1054 Å
α = 90.00°, β = 113.13°, γ = 90.00°
Space group Cc (No. 9)
One atom of each set of equivalent atoms:
1 Pm 0.0000 0.0001 0.0000
2 Ag 0.1273 0.4340 0.1909
3 Ag 0.3729 0.0668 0.8080
4 Cl 0.0000 0.1476 0.7500
5 Cl 0.0783 0.3257 0.4491
6 Cl 0.2096 0.1217 0.1408
7 Cl 0.2904 0.3783 0.8593
8 Cl 0.4218 0.1739 0.5506

N(E_F) = 0.0000 states/eV/atom
ΔE_f (raw) = -1.335 eV/atom

---

(5)
VASP calculation (PBE) on AcLaP after structural relaxation.

a = 4.1921 Å, b = 4.1921 Å, c = 7.1775 Å
α = 90.00°, β = 90.00°, γ = 120.00°
Space group P3m1 (No. 156)
One atom of each set of equivalent atoms:
1 Ac 0.0000 0.0000 0.0000
2 La 0.6667 0.3333 0.4784
3 P 0.3333 0.6667 0.2561

N(E_F) = 1.1473 states/eV/atom
formation energy = -264 kJ/mol of formula units

---

(6)
VASP calculation (PBE) on Tb3ErTm3 after structural relaxation.

a = 6.1091 Å, b = 6.1091 Å, c = 42.0807 Å
α = 90.00°, β = 90.00°, γ = 120.00°
Space group R-3 (No. 148, hexagonal axes)
One atom of each set of equivalent atoms:
1 Tb 0.0002 0.3311 0.1321
2 Er 0.0000 0.0000 0.3333
3 Tm 0.0001 0.3340 0.9343

N(E_F) = 1.4165 states/eV/atom
formation energy = 103 kJ/mol of formula units

---

(7)
VASP calculation (PBE) on Ca3MgGe after structural relaxation.

a = 5.7252 Å, b = 5.7252 Å, c = 5.7252 Å
α = 90.00°, β = 90.00°, γ = 90.00°
Space group Pm-3m (No. 221)
One atom of each set of equivalent atoms:
1 Ca 0.0000 0.0000 0.5000
2 Mg 0.5000 0.5000 0.5000
3 Ge 0.0000 0.0000 0.0000

N(E_F) = 0.7301 states/eV/atom
formation energy = -65 kJ/mol of formula units

---

(8)
VASP calculation (PBE) on La4Sn2I3 after structural relaxation.

a = 8.0748 Å, b = 4.6619 Å, c = 18.9180 Å
α = 90.00°, β = 90.09°, γ = 90.00°
Space group C2/m (No. 12)
One atom of each set of equivalent atoms:
1 La 0.0012 0.0000 0.2947
2 La 0.1663 0.5000 0.8908
3 Sn 0.1674 0.5000 0.1998
4 I 0.0000 0.0000 0.0000
5 I 0.1652 0.5000 0.6018

N(E_F) = 0.3761 states/eV/atom
ΔE_f (raw) = -1.117 eV/atom

---

(9)
VASP calculation (PBE) on Pm3Pr4Er2 after structural relaxation.

a = 6.3063 Å, b = 6.3113 Å, c = 9.6521 Å
α = 90.06°, β = 108.90°, γ = 119.95°
Space group P-1 (No. 2)
One atom of each set of equivalent atoms:
1 Pm 0.0000 0.0000 0.0000
2 Pm 0.4450 0.5566 0.6646
3 Pr 0.1112 0.8882 0.6652
4 Pr 0.3307 0.6649 0.0000
5 Er 0.2248 0.7796 0.3355

N(E_F) = 1.4346 states/eV/atom
formation energy = 14 kJ/mol of formula units

---

(10)
VASP calculation (PBE) on Hf5Mn2Au2 after structural relaxation.

a = 15.3344 Å, b = 6.6876 Å, c = 6.6912 Å
α = 90.00°, β = 90.00°, γ = 90.00°
Space group Cmce (No. 64)
One atom of each set of equivalent atoms:
1 Hf 0.0000 0.0000 0.0000
2 Hf 0.1264 0.1899 0.3132
3 Mn 0.0000 0.1105 0.6082
4 Au 0.2228 0.0000 0.0000

N(E_F) = 0.6806 states/eV/atom
formation energy = -247 kJ/mol of formula units

---

(11)
VASP calculation (PBE) on CsTe2N after structural relaxation.

a = 6.5661 Å, b = 6.5661 Å, c = 17.3965 Å
α = 90.00°, β = 90.00°, γ = 120.00°
Space group R-3m (No. 166, hexagonal axes)
One atom of each set of equivalent atoms:
1 Cs 0.0000 0.0000 0.0000
2 Te 0.0000 0.0000 0.3890
3 N 0.0000 0.0000 0.5000

N(E_F) = 0.6614 states/eV/atom
ΔE_f (raw) = 0.359 eV/atom

---

(12)
VASP calculation (PBE) on CuSiW3 after structural relaxation.

a = 4.4809 Å, b = 4.4809 Å, c = 4.4809 Å
α = 90.00°, β = 90.00°, γ = 90.00°
Space group Pm-3m (No. 221)
One atom of each set of equivalent atoms:
1 Cu 0.0000 0.0000 0.0000
2 Si 0.5000 0.5000 0.5000
3 W 0.0000 0.5000 0.5000

N(E_F) = 1.7949 states/eV/atom
ΔE_f (raw) = 1.550 eV/atom